Crystalline Li2TiCr3O8 at its relaxed geometry, computed with PBE with a Hubbard U.

Cell: 8.411 8.411 8.411 Å, 90.00 90.00 90.00°
Space group P4_332 (No. 212)
Inequivalent atoms, fractional coordinates:
Li 0.004 0.496 0.504 (multiplicity 8)
Ti 0.125 0.875 0.375 (multiplicity 4)
Cr 0.123 0.625 0.127 (multiplicity 12)
O 0.107 0.607 0.893 (multiplicity 8)
O 0.110 0.387 0.116 (multiplicity 24)

Results
- M_tot: 8.00 μB/f.u.
- Raw total energy: -417.350 eV/cell
- Theoretical density: 3.9 g/cm3
- Crystal system: cubic
- Energy relative to the lowest polymorph listed for this composition: 8 meV/atom
- DOS(E_F): 0.371 states/eV per atom